# 1
Below is a geometry-optimized CaMgOs structure, with properties calculated at the PBE-GGA level.

```
CaMgOs
1.0
-2.7089 -3.7096 1.0447
0.5797 -4.0647 -2.3093
1.8547 -3.7222 2.2126
Os Mg Ca
1 1 1
direct
0.5000 0.5000 0.5000
0.0000 0.0000 0.0000
0.7500 0.7500 0.7500
```

Computed properties:
* total energy: -10.8 eV for the cell shown
* density: 5.7 g/cm³
* DFT formation energy: 1.358 eV/atom

=====

# 2
Below is a geometry-optimized PaGeSeO4 structure, with properties calculated at the PBE-GGA level.

```
PaGeSeO4
1.0
6.4022 0.2725 -0.1032
2.3778 5.9505 -0.1032
1.6718 1.1849 6.5170
O Pa Se Ge
8 2 2 2
direct
0.7028 0.7028 0.4644
0.4684 0.4684 0.7931
0.5316 0.5316 0.2069
0.4787 0.1056 0.1522
0.1056 0.4787 0.1522
0.5213 0.8944 0.8478
0.2972 0.2972 0.5356
0.8944 0.5213 0.8478
0.7364 0.7364 0.1463
0.2636 0.2636 0.8537
0.9919 0.9919 0.8315
0.0081 0.0081 0.1685
0.6385 0.6385 0.7307
0.3615 0.3615 0.2693
```

Computed properties:
* total energy: -106.0 eV for the cell shown
* density: 6.0 g/cm³
* E_form (uncorrected): -2221 meV/atom

=====

# 3
Below is a geometry-optimized RbBaNa structure, with properties calculated at the PBE-GGA level.

```
RbBaNa
1.0
4.8467 0.0000 -0.0004
0.0000 7.0253 0.0000
-2.3081 0.0000 11.1206
Rb Na Ba
2 2 2
direct
0.5793 0.5214 0.1331
0.4207 0.0214 0.8669
0.1197 0.0214 0.2280
0.8803 0.5214 0.7720
0.2438 0.5247 0.4862
0.7562 0.0247 0.5138
```

Computed properties:
* total energy: -8.1 eV for the cell shown
* density: 2.2 g/cm³
* DFT formation energy: 0.058 eV/atom
* excess energy over the best structure of this formula in the dataset: 30.6 meV per atom

=====

# 4
Below is a geometry-optimized Ho6CdGa2 structure, with properties calculated at the PBE-GGA level.

```
Ho6CdGa2
1.0
8.0350 -0.0499 -3.0399
-4.2305 7.1021 -2.3381
-0.1912 0.0499 8.5887
Ho Ga Cd
12 4 2
direct
0.4593 0.2770 0.1823
0.0947 0.2770 0.8177
0.2007 0.7563 0.9570
0.5407 0.7230 0.8177
0.2958 0.9744 0.6786
0.7993 0.2437 0.0430
0.2007 0.2437 0.4444
0.7042 0.0256 0.3214
0.7993 0.7563 0.5556
0.2958 0.6173 0.3214
0.7042 0.3827 0.6786
0.9053 0.7230 0.1823
0.5000 0.6215 0.1215
0.6474 0.0000 0.6474
0.5000 0.3785 0.8785
0.3526 0.0000 0.3526
0.0000 0.0000 0.0000
0.0000 0.5000 0.5000
```

Computed properties:
* total energy: -75.5 eV for the cell shown
* density: 8.5 g/cm³
* DFT formation energy: -0.370 eV/atom